Entry a
TaC2 | PBEsol | optimized geometry

Cell and atoms, written as extended XYZ:
```
6
Lattice="2.7559 0.0000 0.0000 -1.3779 2.3866 0.0000 0.0000 0.0000 8.0872" Properties=species:S:1:pos:R:3 pbc="T T T"
Ta 0.0000 1.5911 2.0218
Ta 1.3779 0.7955 6.0654
C 0.0000 1.5911 4.3253
C 0.0000 1.5911 7.8055
C 1.3779 0.7955 0.2817
C 1.3779 0.7955 3.7619
```

Calculated values
* total moment: 0.00 μB/f.u.
* space-group type: P6_3/mmc

---

Entry b
TaC2 | PBEsol | optimized geometry

Cell and atoms, written as extended XYZ:
```
9
Lattice="3.6559 0.0000 0.0000 -1.8279 3.1661 0.0000 0.0000 0.0000 9.4463" Properties=species:S:1:pos:R:3 pbc="T T T"
Ta 0.0000 0.0000 0.0000
Ta 0.0000 2.1107 6.2976
Ta 1.8279 1.0554 3.1488
C 0.0000 0.0000 6.0467
C 0.0000 0.0000 7.4306
C 0.0000 2.1107 2.8979
C 0.0000 2.1107 4.2818
C 1.8279 1.0554 1.1330
C 1.8279 1.0554 9.1955
```

Calculated values
* total moment: 0.00 μB/f.u.
* space-group type: R3m

---

Most favorable structure: entry a. The second most favorable one is 0.082 eV/atom above it.

---

Entry a
TaC | PBEsol | optimized geometry

Cell and atoms, written as extended XYZ:
```
12
Lattice="10.1716 0.0000 0.0000 0.0000 2.9535 0.0000 -2.5036 0.0000 4.6875" Properties=species:S:1:pos:R:3 pbc="T T T"
Ta 0.0000 0.0000 0.0000
Ta -0.0676 0.0000 3.0245
Ta 2.4361 1.4767 1.6534
Ta 5.0858 1.4767 0.0000
Ta 5.0182 1.4767 3.0245
Ta 7.5219 0.0000 1.6534
C -0.8950 1.4767 4.3785
C 1.9869 0.0000 3.1716
C 4.1945 0.0000 1.5259
C 4.1908 0.0000 4.3785
C 7.0727 1.4767 3.1716
C 9.2804 1.4767 1.5259
```

Calculated values
* total moment: 0.00 μB/f.u.
* space-group type: Cm

---

Entry b
TaC | PBEsol | optimized geometry

Cell and atoms, written as extended XYZ:
```
8
Lattice="4.6609 0.0000 0.0000 -2.3304 4.0364 0.0000 0.0000 0.0000 5.6340" Properties=species:S:1:pos:R:3 pbc="T T T"
Ta 0.0000 0.0000 1.4085
Ta 0.0000 0.0000 4.2255
Ta 0.0000 2.6910 1.4085
Ta 2.3304 1.3455 4.2255
C 0.0000 2.6910 3.5569
C 0.0000 2.6910 4.8940
C 2.3304 1.3455 0.7399
C 2.3304 1.3455 2.0771
```

Calculated values
* total moment: 0.00 μB/f.u.
* space-group type: P6_3/mmc

---

Entry c
TaC | PBEsol | optimized geometry

Cell and atoms, written as extended XYZ:
```
4
Lattice="3.0500 0.0000 0.0000 0.0000 5.3269 0.0000 0.0000 0.0000 3.0510" Properties=species:S:1:pos:R:3 pbc="T T T"
Ta 0.0000 0.0000 0.0000
Ta 1.5250 2.6635 0.0000
C 0.0000 2.6635 1.5255
C 1.5250 0.0000 1.5255
```

Calculated values
* total moment: 0.00 μB/f.u.
* space-group type: Cmmm

---

Entry d
TaC | PBEsol | optimized geometry

Cell and atoms, written as extended XYZ:
```
8
Lattice="4.4429 0.0000 0.0000 0.0000 4.4429 0.0000 0.0000 0.0000 4.4429" Properties=species:S:1:pos:R:3 pbc="T T T"
Ta 0.0000 0.0000 0.0000
Ta 0.0000 2.2215 2.2215
Ta 2.2215 0.0000 2.2215
Ta 2.2215 2.2215 0.0000
C 0.0000 0.0000 2.2215
C 0.0000 2.2215 0.0000
C 2.2215 0.0000 0.0000
C 2.2215 2.2215 2.2215
```

Calculated values
* total moment: 0.00 μB/f.u.
* space-group type: Fm-3m

---

Most favorable structure: entry d. The second most favorable one is 0.483 eV/atom above it.

---

Entry a
TaC | PBEsol | optimized geometry

Cell and atoms, written as extended XYZ:
```
6
Lattice="5.4050 0.0000 0.0000 -2.7025 4.6809 0.0000 0.0000 0.0000 3.1238" Properties=species:S:1:pos:R:3 pbc="T T T"
Ta -1.3512 2.3404 0.0000
Ta 2.7025 0.0000 0.0000
Ta 1.3512 2.3404 0.0000
C 0.0000 0.0000 0.0000
C 0.0000 3.1206 1.5619
C 2.7025 1.5603 1.5619
```

Calculated values
* total moment: 0.00 μB/f.u.
* space-group type: P6/mmm

---

Entry b
TaC | PBEsol | optimized geometry

Cell and atoms, written as extended XYZ:
```
8
Lattice="3.1001 0.0000 0.0000 0.0000 10.0739 0.0000 0.0000 0.0000 3.0667" Properties=species:S:1:pos:R:3 pbc="T T T"
Ta 0.0000 1.4534 0.7667
Ta 0.0000 8.6205 2.3000
Ta 1.5500 3.5835 2.3000
Ta 1.5500 6.4904 0.7667
C 0.0000 3.6368 0.7667
C 0.0000 6.4371 2.3000
C 1.5500 1.4002 2.3000
C 1.5500 8.6737 0.7667
```

Calculated values
* total moment: 0.00 μB/f.u.
* space-group type: Cmcm

---

Most favorable structure: entry b. The second most favorable one is 0.843 eV/atom above it.

---

Entry a
ZrTaC2 | PBEsol | optimized geometry

Cell and atoms, written as extended XYZ:
```
12
Lattice="3.2099 0.0000 0.0000 -1.6049 2.7799 0.0000 0.0000 0.0000 15.8196" Properties=species:S:1:pos:R:3 pbc="T T T"
Zr 0.0000 0.0000 0.0000
Zr 0.0000 1.8532 10.5464
Zr 1.6050 0.9266 5.2732
Ta 0.0000 0.0000 7.9098
Ta 0.0000 1.8532 2.6366
Ta 1.6050 0.9266 13.1830
C 0.0000 0.0000 3.8829
C 0.0000 0.0000 11.9367
C 0.0000 1.8532 6.6635
C 0.0000 1.8532 14.4293
C 1.6050 0.9266 1.3903
C 1.6050 0.9266 9.1561
```

Calculated values
* total moment: 0.00 μB/f.u.
* space-group type: R-3m

---

Entry b
ZrTaC2 | PBEsol | optimized geometry

Cell and atoms, written as extended XYZ:
```
4
Lattice="3.2192 0.0000 0.0000 0.0000 3.2192 0.0000 0.0000 0.0000 4.5350" Properties=species:S:1:pos:R:3 pbc="T T T"
Zr 0.0000 0.0000 0.0000
Ta 1.6096 1.6096 2.2675
C 0.0000 0.0000 2.2675
C 1.6096 1.6096 0.0000
```

Calculated values
* total moment: 0.00 μB/f.u.
* space-group type: P4/mmm

---

Most favorable structure: entry a. The second most favorable one is 0.041 eV/atom above it.

---

Entry a
TcC2 | PBEsol | optimized geometry

Cell and atoms, written as extended XYZ:
```
6
Lattice="0.0000 2.9817 2.9817 2.9817 0.0000 2.9817 2.9817 2.9817 0.0000" Properties=species:S:1:pos:R:3 pbc="T T T"
Tc 0.7454 0.7454 0.7454
Tc 5.2180 5.2180 5.2180
C 2.9817 1.4908 1.4908
C 1.4908 2.9817 1.4908
C 1.4908 1.4908 2.9817
C 2.9817 2.9817 2.9817
```

Calculated values
* total moment: 0.00 μB/f.u.
* space-group type: Fd-3m

---

Entry b
TcC2 | PBEsol | optimized geometry

Cell and atoms, written as extended XYZ:
```
12
Lattice="10.5495 0.0000 0.0000 0.0000 2.6573 0.0000 -0.3312 0.0000 3.6952" Properties=species:S:1:pos:R:3 pbc="T T T"
Tc 1.2409 0.0000 0.1201
Tc 3.7027 1.3287 3.5751
Tc 6.5156 1.3287 0.1201
Tc 8.9774 0.0000 3.5751
C -0.1518 1.3287 2.5679
C 2.2674 0.0000 2.1557
C 2.6762 1.3287 1.5395
C 5.0954 0.0000 1.1273
C 5.1229 0.0000 2.5679
C 7.5421 1.3287 2.1557
C 7.9509 0.0000 1.5395
C 10.3701 1.3287 1.1273
```

Calculated values
* total moment: 0.00 μB/f.u.
* space-group type: C2/m

---

Most favorable structure: entry b. The second most favorable one is 1.999 eV/atom above it.

---

Entry a
TcC3 | PBEsol | optimized geometry

Cell and atoms, written as extended XYZ:
```
4
Lattice="2.6408 0.0000 0.0000 0.0000 3.0988 0.0000 0.0000 0.0000 4.9745" Properties=species:S:1:pos:R:3 pbc="T T T"
Tc 0.0000 0.0000 0.0000
C 0.0000 0.0000 2.4872
C 1.3204 0.0000 2.4872
C 1.3204 1.5494 0.0000
```

Calculated values
* total moment: 0.00 μB/f.u.
* space-group type: Pmmm

---

Entry b
TcC3 | PBEsol | optimized geometry

Cell and atoms, written as extended XYZ:
```
16
Lattice="3.6063 0.0000 0.0000 0.0000 10.0295 0.0000 0.0000 0.0000 3.8889" Properties=species:S:1:pos:R:3 pbc="T T T"
Tc 0.0000 0.8503 0.9722
Tc 0.0000 9.1792 2.9166
Tc 1.8032 4.1645 2.9166
Tc 1.8032 5.8650 0.9722
C 0.0000 1.9559 2.9166
C 0.0000 8.0736 0.9722
C 0.7133 4.0730 0.9722
C 0.7133 5.9565 2.9166
C 1.0899 0.9418 2.9166
C 1.0899 9.0878 0.9722
C 1.8032 3.0588 0.9722
C 1.8032 6.9707 2.9166
C 2.5165 0.9418 2.9166
C 2.5165 9.0878 0.9722
C 2.8931 4.0730 0.9722
C 2.8931 5.9565 2.9166
```

Calculated values
* total moment: 0.00 μB/f.u.
* space-group type: Cmcm

---

Most favorable structure: entry b. The second most favorable one is 0.180 eV/atom above it.

---

Entry a
TcC3 | PBEsol | optimized geometry

Cell and atoms, written as extended XYZ:
```
4
Lattice="3.0931 0.0000 0.0000 0.0000 2.5192 0.0000 -1.2014 0.0000 4.2787" Properties=species:S:1:pos:R:3 pbc="T T T"
Tc 0.0000 0.0000 0.0000
C -0.6007 0.0000 2.1393
C 0.3668 1.2596 1.7041
C 1.5249 1.2596 2.5746
```

Calculated values
* total moment: 0.00 μB/f.u.
* space-group type: P2/m

---

Entry b
TcC3 | PBEsol | optimized geometry

Cell and atoms, written as extended XYZ:
```
12
Lattice="6.3442 0.0000 0.0000 -3.1721 5.4942 0.0000 0.0000 0.0000 2.9526" Properties=species:S:1:pos:R:3 pbc="T T T"
Tc 0.0000 0.0000 0.0000
Tc 0.0000 3.6628 1.9684
Tc 3.1721 1.8314 0.9842
C -1.5860 2.7471 0.0000
C 0.0000 1.8314 0.9842
C -1.5860 4.5785 0.9842
C 1.5860 0.9157 1.9684
C 3.1721 0.0000 0.0000
C 1.5860 2.7471 0.0000
C 1.5860 4.5785 0.9842
C 4.7581 0.9157 1.9684
C 3.1721 3.6628 1.9684
```

Calculated values
* total moment: 0.00 μB/f.u.
* space-group type: R-3m

---

Most favorable structure: entry a. The second most favorable one is 0.960 eV/atom above it.

---

Entry a
Tc3C | PBEsol | optimized geometry

Cell and atoms, written as extended XYZ:
```
4
Lattice="2.6810 0.0000 0.0000 0.0000 2.6810 0.0000 0.0000 0.0000 6.4527" Properties=species:S:1:pos:R:3 pbc="T T T"
Tc 0.0000 0.0000 0.0000
Tc 1.3405 1.3405 1.9541
Tc 1.3405 1.3405 4.4986
C 0.0000 0.0000 3.2264
```

Calculated values
* total moment: 0.00 μB/f.u.
* space-group type: P4/mmm

---

Entry b
Tc3C | PBEsol | optimized geometry

Cell and atoms, written as extended XYZ:
```
16
Lattice="5.2427 0.0000 0.0000 0.0000 7.4755 0.0000 0.0000 0.0000 4.7733" Properties=species:S:1:pos:R:3 pbc="T T T"
Tc 0.1897 1.8689 0.8117
Tc 0.9842 0.5342 3.1758
Tc 0.9842 3.2035 3.1758
Tc 1.6372 4.2720 0.7892
Tc 1.6372 6.9412 0.7892
Tc 2.4317 5.6066 3.1983
Tc 2.8110 1.8689 1.5750
Tc 3.6055 0.5342 3.9841
Tc 3.6055 3.2035 3.9841
Tc 4.2585 4.2720 1.5975
Tc 4.2585 6.9412 1.5975
Tc 5.0530 5.6066 3.9616
C 0.6032 5.6066 2.0258
C 2.0182 1.8689 4.4125
C 3.2245 5.6066 0.3608
C 4.6395 1.8689 2.7475
```

Calculated values
* total moment: 0.00 μB/f.u.
* space-group type: Pnma

---

Most favorable structure: entry b. The second most favorable one is 0.305 eV/atom above it.